1.
{"formula": "Bi2HPdPb", "functional": "GGA-PBE", "state": "optimized geometry", "cell": [[5.802, 0.000, 0.000], [0.000, 3.458, 0.000], [0.000, 0.000, 5.802]], "species": ["H", "Bi", "Bi", "Pb", "Pd"], "frac_coords": [[0.000, 0.500, 0.000], [0.000, 0.000, 0.500], [0.500, 0.000, 0.000], [0.500, 0.500, 0.500], [0.000, 0.000, 0.000]], "sg": "P4/mmm (123)", "crystal_system": "tetragonal", "density_kg_m3": 10452, "dft_energy_ev_per_atom": -3.9896}



2.
{"formula": "BiHPd4Pb", "functional": "GGA-PBE", "state": "optimized geometry", "cell": [[-3.798, -4.338, -0.018], [3.093, -2.725, 4.020], [-1.897, 5.471, 5.169]], "species": ["Bi", "Bi", "Pd", "Pd", "Pd", "Pd", "Pd", "Pd", "Pd", "Pd", "Pb", "Pb", "H", "H"], "frac_coords": [[0.087, 0.250, 0.174], [0.913, 0.750, 0.826], [0.500, 0.500, 0.500], [0.500, 0.000, 0.500], [0.611, 0.250, 0.221], [0.389, 0.750, 0.779], [0.000, 0.500, 0.500], [0.111, 0.750, 0.221], [0.889, 0.250, 0.779], [0.000, 0.000, 0.500], [0.413, 0.250, 0.826], [0.587, 0.750, 0.174], [0.249, 0.750, 0.499], [0.751, 0.250, 0.501]], "sg": "Cmcm (63)", "crystal_system": "orthorhombic", "density_kg_m3": 11698, "dft_energy_ev_per_atom": -4.7275}



3.
{"formula": "Bi2HPtPb", "functional": "GGA-PBE", "state": "optimized geometry", "cell": [[5.780, 0.000, 0.000], [0.000, 5.780, 0.000], [0.000, 0.000, 3.485]], "species": ["Bi", "Bi", "Pb", "Pt", "H"], "frac_coords": [[0.500, 0.000, 0.000], [0.000, 0.500, 0.000], [0.500, 0.500, 0.500], [0.000, 0.000, 0.000], [0.000, 0.000, 0.500]], "polymorph_energy_ev_per_atom": 0.0000, "sg": "P4/mmm (123)", "crystal_system": "tetragonal", "density_kg_m3": 11714}



4.
{"formula": "Bi2HPtPb", "functional": "GGA-PBE", "state": "optimized geometry", "cell": [[4.827, 0.000, 0.000], [0.000, 4.692, 0.000], [0.000, 0.000, 4.827]], "species": ["Pt", "Bi", "Bi", "H", "Pb"], "frac_coords": [[0.500, 0.500, 0.500], [0.500, 0.000, 0.000], [0.000, 0.000, 0.500], [0.000, 0.000, 0.000], [0.000, 0.500, 0.000]], "polymorph_energy_ev_per_atom": 0.3660, "sg": "P4/mmm (123)", "crystal_system": "tetragonal", "density_kg_m3": 12475}



5.
{"formula": "BiHPtPb2", "functional": "GGA-PBE", "state": "optimized geometry", "cell": [[-2.054, -0.058, 5.441], [-5.055, -2.133, -1.931], [1.200, -3.223, 0.419]], "species": ["Pb", "Pb", "Pt", "H", "Bi"], "frac_coords": [[0.500, 0.000, 0.000], [0.000, 0.500, 0.000], [0.000, 0.000, 0.000], [0.000, 0.000, 0.500], [0.500, 0.500, 0.500]], "sg": "P4/mmm (123)", "crystal_system": "tetragonal", "density_kg_m3": 11611, "dft_energy_ev_per_atom": -4.1374}



6.
{"formula": "BiHPt3Pb", "functional": "GGA-PBE", "state": "optimized geometry", "cell": [[-4.162, -4.100, 3.108], [3.036, -4.027, 3.458], [1.257, 1.738, 6.328]], "species": ["Bi", "Bi", "Pt", "Pt", "Pt", "Pt", "Pt", "Pt", "H", "H", "Pb", "Pb"], "frac_coords": [[0.250, 0.591, 0.818], [0.750, 0.409, 0.182], [0.531, 0.116, 0.125], [0.250, 0.824, 0.352], [0.750, 0.176, 0.648], [0.969, 0.759, 0.125], [0.469, 0.884, 0.875], [0.031, 0.241, 0.875], [0.750, 0.028, 0.944], [0.250, 0.972, 0.056], [0.250, 0.276, 0.448], [0.750, 0.724, 0.552]], "sg": "C2/c (15)", "crystal_system": "monoclinic", "density_kg_m3": 14850, "dft_energy_ev_per_atom": -4.8359}



7.
{"formula": "PuBiHPb", "functional": "GGA-PBE", "state": "optimized geometry", "cell": [[-2.665, 3.488, 0.052], [-0.025, -0.085, 4.389], [7.951, 6.073, 0.164]], "species": ["Pb", "Pb", "Pu", "Pu", "H", "H", "Bi", "Bi"], "frac_coords": [[0.000, 0.000, 0.500], [0.500, 0.500, 0.500], [0.500, 0.000, 0.098], [0.000, 0.500, 0.902], [0.000, 0.000, 0.000], [0.500, 0.500, 0.000], [0.500, 0.000, 0.770], [0.000, 0.500, 0.230]], "sg": "P4/nmm (129)", "crystal_system": "tetragonal", "density_kg_m3": 11386, "dft_energy_ev_per_atom": -6.4920}



8.
{"formula": "ReBiH2Pb", "functional": "GGA-PBE", "state": "optimized geometry", "cell": [[-2.338, 3.311, 0.024], [-3.286, -2.282, -5.276], [-2.630, -1.874, 2.449]], "species": ["Pb", "H", "H", "Bi", "Re"], "frac_coords": [[0.000, 0.500, 0.000], [0.000, 0.000, 0.500], [0.500, 0.000, 0.000], [0.000, 0.000, 0.000], [0.500, 0.500, 0.500]], "sg": "P4/mmm (123)", "crystal_system": "tetragonal", "density_kg_m3": 9228, "dft_energy_ev_per_atom": -4.0880}



9.
{"formula": "BiH6Rh2Pb", "functional": "GGA-PBE", "state": "optimized geometry", "cell": [[6.787, -1.378, 0.546], [-2.199, 6.567, 0.546], [-0.842, -0.953, 5.697]], "species": ["H", "H", "H", "H", "H", "H", "H", "H", "H", "H", "H", "H", "Bi", "Bi", "Rh", "Rh", "Rh", "Rh", "Pb", "Pb"], "frac_coords": [[0.309, 0.974, 0.879], [0.718, 0.511, 0.653], [0.109, 0.255, 0.103], [0.489, 0.282, 0.847], [0.282, 0.489, 0.347], [0.255, 0.109, 0.603], [0.891, 0.745, 0.897], [0.974, 0.309, 0.379], [0.026, 0.691, 0.621], [0.745, 0.891, 0.397], [0.691, 0.026, 0.121], [0.511, 0.718, 0.153], [0.391, 0.609, 0.750], [0.609, 0.391, 0.250], [0.231, 0.159, 0.880], [0.159, 0.231, 0.380], [0.769, 0.841, 0.120], [0.841, 0.769, 0.620], [0.826, 0.174, 0.750], [0.174, 0.826, 0.250]], "sg": "C2/c (15)", "crystal_system": "monoclinic", "density_kg_m3": 8513, "dft_energy_ev_per_atom": -4.1626}



10.
{"formula": "BiH8Rh2Pb", "functional": "GGA-PBE", "state": "optimized geometry", "cell": [[-3.186, 0.258, -2.153], [-1.978, -3.182, -0.904], [-6.949, 0.042, 6.840]], "species": ["H", "H", "H", "H", "H", "H", "H", "H", "Bi", "Rh", "Rh", "Pb"], "frac_coords": [[0.188, 0.310, 0.763], [0.690, 0.261, 0.237], [0.198, 0.198, 0.405], [0.802, 0.802, 0.595], [0.310, 0.739, 0.763], [0.739, 0.188, 0.763], [0.261, 0.812, 0.237], [0.812, 0.690, 0.237], [0.000, 0.000, 0.000], [0.256, 0.256, 0.232], [0.744, 0.744, 0.768], [0.500, 0.500, 0.500]], "sg": "R-3 (148)", "crystal_system": "trigonal", "density_kg_m3": 8566, "dft_energy_ev_per_atom": -3.8521}



11.
{"formula": "BiH2PbS", "functional": "GGA-PBE", "state": "optimized geometry", "cell": [[-1.604, 3.282, 1.876], [-0.930, -3.241, 4.874], [3.725, 1.025, 1.392]], "species": ["Bi", "Pb", "S", "H", "H"], "frac_coords": [[0.500, 0.500, 0.500], [0.000, 0.000, 0.000], [0.000, 0.500, 0.000], [0.000, 0.000, 0.500], [0.500, 0.000, 0.000]], "sg": "P4/mmm (123)", "crystal_system": "tetragonal", "density_kg_m3": 7480, "dft_energy_ev_per_atom": -3.4066}



12.
{"formula": "Sc4BiHPb", "functional": "GGA-PBE", "state": "optimized geometry", "cell": [[6.072, 0.000, 0.000], [0.000, 6.067, 0.000], [-3.036, 0.000, 8.004]], "species": ["Bi", "Bi", "Pb", "Pb", "Sc", "Sc", "Sc", "Sc", "Sc", "Sc", "Sc", "Sc", "H", "H"], "frac_coords": [[0.109, 0.250, 0.217], [0.891, 0.750, 0.783], [0.390, 0.250, 0.780], [0.610, 0.750, 0.220], [0.078, 0.750, 0.156], [0.000, 0.000, 0.500], [0.500, 0.000, 0.500], [0.577, 0.250, 0.154], [0.500, 0.500, 0.500], [0.423, 0.750, 0.846], [0.000, 0.500, 0.500], [0.922, 0.250, 0.844], [0.712, 0.250, 0.424], [0.288, 0.750, 0.576]], "sg": "Cmcm (63)", "crystal_system": "orthorhombic", "density_kg_m3": 6724, "dft_energy_ev_per_atom": -5.6882}



13.
{"formula": "Sn2BiHPb", "functional": "GGA-PBE", "state": "optimized geometry", "cell": [[-2.359, 1.094, 4.194], [1.652, -4.187, 2.022], [4.081, 2.414, 1.665]], "species": ["Pb", "H", "Bi", "Sn", "Sn"], "frac_coords": [[0.000, 0.000, 0.500], [0.000, 0.000, 0.000], [0.500, 0.500, 0.500], [0.000, 0.500, 0.000], [0.500, 0.000, 0.000]], "sg": "P4/mmm (123)", "crystal_system": "tetragonal", "density_kg_m3": 8881, "dft_energy_ev_per_atom": -3.5528}



14.
{"formula": "Sr2BiHPb", "functional": "GGA-PBE", "state": "optimized geometry", "cell": [[5.564, 0.000, 0.000], [0.000, 5.564, 0.000], [0.000, 0.000, 4.650]], "species": ["H", "Bi", "Sr", "Sr", "Pb"], "frac_coords": [[0.000, 0.000, 0.000], [0.500, 0.500, 0.500], [0.500, 0.000, 0.000], [0.000, 0.500, 0.000], [0.000, 0.000, 0.500]], "sg": "P4/mmm (123)", "crystal_system": "tetragonal", "density_kg_m3": 6834, "dft_energy_ev_per_atom": -3.3100}



15.
{"formula": "SrBi2HPb", "functional": "GGA-PBE", "state": "optimized geometry", "cell": [[-4.974, 1.274, 0.223], [-1.272, -4.660, -1.757], [-0.228, -1.719, 4.725]], "species": ["H", "Bi", "Bi", "Pb", "Sr"], "frac_coords": [[0.000, 0.000, 0.000], [0.000, 0.500, 0.000], [0.500, 0.000, 0.000], [0.500, 0.500, 0.500], [0.000, 0.000, 0.500]], "sg": "P4/mmm (123)", "crystal_system": "tetragonal", "density_kg_m3": 8914, "dft_energy_ev_per_atom": -3.4635}



16.
{"formula": "SrBiHPb2", "functional": "GGA-PBE", "state": "optimized geometry", "cell": [[-1.867, 2.591, 3.946], [-4.342, -2.607, -0.343], [1.885, -3.564, 3.232]], "species": ["H", "Pb", "Pb", "Bi", "Sr"], "frac_coords": [[0.000, 0.000, 0.000], [0.500, 0.000, 0.000], [0.000, 0.500, 0.000], [0.500, 0.500, 0.500], [0.000, 0.000, 0.500]], "sg": "P4/mmm (123)", "crystal_system": "tetragonal", "density_kg_m3": 8879, "dft_energy_ev_per_atom": -3.4518}



17.
{"formula": "TiBi2HPb", "functional": "GGA-PBE", "state": "optimized geometry", "cell": [[-1.242, 5.807, -0.824], [-0.700, -0.638, -3.441], [-5.746, -1.035, 1.360]], "species": ["Ti", "H", "Bi", "Bi", "Pb"], "frac_coords": [[0.500, 0.500, 0.500], [0.000, 0.500, 0.000], [0.000, 0.000, 0.500], [0.500, 0.000, 0.000], [0.000, 0.000, 0.000]], "sg": "P4/mmm (123)", "crystal_system": "tetragonal", "density_kg_m3": 8727, "dft_energy_ev_per_atom": -3.9275}



18.
{"formula": "Ti7BiH2Pb2", "functional": "GGA-PBE", "state": "optimized geometry", "cell": [[-0.881, -1.358, 3.798], [4.009, -0.718, 0.673], [2.809, 9.707, 6.386]], "species": ["Pb", "Pb", "Bi", "Ti", "Ti", "Ti", "Ti", "Ti", "Ti", "Ti", "H", "H"], "frac_coords": [[0.188, 0.188, 0.626], [0.812, 0.812, 0.374], [0.000, 0.000, 0.000], [0.310, 0.310, 0.377], [0.500, 0.500, 0.000], [0.095, 0.595, 0.811], [0.595, 0.095, 0.811], [0.690, 0.690, 0.623], [0.405, 0.905, 0.189], [0.905, 0.405, 0.189], [0.405, 0.405, 0.188], [0.595, 0.595, 0.812]], "sg": "C2/m (12)", "crystal_system": "monoclinic", "density_kg_m3": 8077, "dft_energy_ev_per_atom": -6.2836}



19.
{"formula": "Tl2BiHPb", "functional": "GGA-PBE", "state": "optimized geometry", "cell": [[-0.513, 2.514, 4.376], [-5.046, -0.147, -0.508], [-0.126, -4.445, 2.539]], "species": ["H", "Pb", "Bi", "Tl", "Tl"], "frac_coords": [[0.000, 0.000, 0.000], [0.000, 0.000, 0.500], [0.500, 0.500, 0.500], [0.000, 0.500, 0.000], [0.500, 0.000, 0.000]], "polymorph_energy_ev_per_atom": 0.0000, "sg": "P4/mmm (123)", "crystal_system": "tetragonal", "density_kg_m3": 10405}



20.
{"formula": "Tl2BiHPb", "functional": "GGA-PBE", "state": "optimized geometry", "cell": [[-3.019, 3.868, -2.198], [2.102, -1.101, -4.825], [-3.325, -3.025, -0.758]], "species": ["Tl", "Tl", "Pb", "H", "Bi"], "frac_coords": [[0.500, 0.000, 0.000], [0.000, 0.500, 0.000], [0.500, 0.500, 0.500], [0.000, 0.000, 0.000], [0.000, 0.000, 0.500]], "polymorph_energy_ev_per_atom": 0.0173, "sg": "P4/mmm (123)", "crystal_system": "tetragonal", "density_kg_m3": 10408}



21.
{"formula": "ZnBi2HPb", "functional": "GGA-PBE", "state": "optimized geometry", "cell": [[-2.813, -4.843, -2.041], [5.237, -2.391, -1.543], [0.250, -1.446, 3.088]], "species": ["Bi", "Bi", "H", "Pb", "Zn"], "frac_coords": [[0.500, 0.000, 0.000], [0.000, 0.500, 0.000], [0.000, 0.000, 0.500], [0.500, 0.500, 0.500], [0.000, 0.000, 0.000]], "sg": "P4/mmm (123)", "crystal_system": "tetragonal", "density_kg_m3": 9453, "dft_energy_ev_per_atom": -3.0619}



22.
{"formula": "ZnBiHPb2", "functional": "GGA-PBE", "state": "optimized geometry", "cell": [[-3.695, 4.606, -0.682], [-0.631, -1.358, -5.753], [-2.667, -2.025, 0.770]], "species": ["Pb", "Pb", "Zn", "Bi", "H"], "frac_coords": [[0.500, 0.000, 0.000], [0.000, 0.500, 0.000], [0.000, 0.000, 0.000], [0.500, 0.500, 0.500], [0.000, 0.000, 0.500]], "sg": "P4/mmm (123)", "crystal_system": "tetragonal", "density_kg_m3": 9433, "dft_energy_ev_per_atom": -3.0047}



23.
{"formula": "Zr7BiH2Pb2", "functional": "GGA-PBE", "state": "optimized geometry", "cell": [[-4.153, 0.232, -1.081], [1.030, -0.736, -4.107], [-2.801, -12.999, -0.637]], "species": ["H", "H", "Zr", "Zr", "Zr", "Zr", "Zr", "Zr", "Zr", "Pb", "Pb", "Bi"], "frac_coords": [[0.417, 0.417, 0.165], [0.583, 0.583, 0.835], [0.096, 0.596, 0.810], [0.596, 0.096, 0.810], [0.404, 0.904, 0.190], [0.296, 0.296, 0.404], [0.500, 0.500, 0.000], [0.704, 0.704, 0.596], [0.904, 0.404, 0.190], [0.816, 0.816, 0.365], [0.184, 0.184, 0.635], [0.000, 0.000, 0.000]], "sg": "C2/m (12)", "crystal_system": "monoclinic", "density_kg_m3": 8771, "dft_energy_ev_per_atom": -6.7903}



24.
{"formula": "Zr7Bi2H2Pb", "functional": "GGA-PBE", "state": "optimized geometry", "cell": [[4.334, 0.002, 0.081], [0.007, 4.334, 0.081], [2.341, 2.338, 12.828]], "species": ["Zr", "Zr", "Zr", "Zr", "Zr", "Zr", "Zr", "H", "H", "Pb", "Bi", "Bi"], "frac_coords": [[0.112, 0.613, 0.810], [0.888, 0.387, 0.190], [0.744, 0.744, 0.598], [0.256, 0.256, 0.402], [0.387, 0.888, 0.190], [0.613, 0.112, 0.810], [0.500, 0.500, 0.000], [0.401, 0.401, 0.168], [0.599, 0.599, 0.832], [0.000, 0.000, 0.000], [0.218, 0.218, 0.634], [0.782, 0.782, 0.366]], "sg": "C2/m (12)", "crystal_system": "monoclinic", "density_kg_m3": 8783, "dft_energy_ev_per_atom": -6.8590}



Number 1: M_tot 0.0 μB/f.u., DOS(E_F) 2.3 states/eV/cell. Number 2: M_tot 0.0 μB/f.u., DOS(E_F) 6.2 states/eV/cell. Number 3: M_tot 0.0 μB/f.u., DOS(E_F) 1.9 states/eV/cell. Number 4: M_tot 0.0 μB/f.u., DOS(E_F) 2.8 states/eV/cell. Number 5: M_tot 0.0 μB/f.u., DOS(E_F) 3.4 states/eV/cell. Number 6: M_tot 0.0 μB/f.u., DOS(E_F) 6.6 states/eV/cell. Number 7: M_tot 5.3 μB/f.u., DOS(E_F) 21.4 states/eV/cell. Number 8: M_tot 3.6 μB/f.u., DOS(E_F) 2.8 states/eV/cell. Number 9: M_tot 0.0 μB/f.u., DOS(E_F) 6.2 states/eV/cell. Number 10: M_tot 0.0 μB/f.u., DOS(E_F) 3.5 states/eV/cell. Number 11: M_tot 0.0 μB/f.u., DOS(E_F) 1.8 states/eV/cell. Number 12: M_tot 1.5 μB/f.u., DOS(E_F) 12.8 states/eV/cell. Number 13: M_tot 0.0 μB/f.u., DOS(E_F) 1.2 states/eV/cell. Number 14: M_tot 0.0 μB/f.u., DOS(E_F) 1.9 states/eV/cell. Number 15: M_tot 0.0 μB/f.u., DOS(E_F) 2.2 states/eV/cell. Number 16: M_tot 0.0 μB/f.u., DOS(E_F) 2.3 states/eV/cell. Number 17: M_tot 1.7 μB/f.u., DOS(E_F) 3.4 states/eV/cell. Number 18: M_tot 0.0 μB/f.u., DOS(E_F) 12.1 states/eV/cell. Number 19: M_tot 0.0 μB/f.u., DOS(E_F) 2.1 states/eV/cell. Number 20: M_tot 0.0 μB/f.u., DOS(E_F) 1.6 states/eV/cell. Number 21: M_tot 0.0 μB/f.u., DOS(E_F) 2.5 states/eV/cell. Number 22: M_tot 0.0 μB/f.u., DOS(E_F) 2.2 states/eV/cell. Number 23: M_tot 0.0 μB/f.u., DOS(E_F) 7.7 states/eV/cell. Number 24: M_tot 0.0 μB/f.u., DOS(E_F) 6.4 states/eV/cell.